1.
This record from Alexandria via LeMat-Bulk describes a relaxed BeCuCl2 crystal. The functional is PBE.

a b c (Å): 7.427 5.737 3.273
angles (deg): 55.45 115.82 140.49
Site moments in Bohr magnetons follow the coordinates.
Sites, in units of the cell vectors:
Be (0.500, 0.500, 0.000)  0.14
Cu (0.000, 0.500, 0.500)  0.00
Cl (0.000, 0.000, 0.000)  0.01
Cl (0.500, 0.000, 0.500)  0.01

Summary:
Total magnetization   0.51 μB/cell
V   18.268 A^3/atom
Energy above the lowest structure with this stoichiometry   0.5281 eV per atom
D(E_F)   0.276 states/eV per atom
Energy relative to the elements, uncorrected   67 meV/atom

2.
This record from Alexandria via LeMat-Bulk describes a relaxed Hf2CoSnH crystal. The functional is PBE.

a b c (Å): 4.360 4.360 3.998
angles (deg): 90.00 90.00 90.00
Site moments in Bohr magnetons follow the coordinates.
Sites, in units of the cell vectors:
Co (0.000, 0.000, 0.500)  1.12
Hf (0.000, 0.500, 0.000)  0.07
Hf (0.500, 0.000, 0.000)  0.07
Sn (0.500, 0.500, 0.500)  0.01
H (0.000, 0.000, 0.000)  0.00

Summary:
Total magnetization   1.27 μB/cell
V   15.200 A^3/atom
Total energy   -7.12 eV/atom
D(E_F)   0.695 states/eV per atom

3.
This record from Alexandria via LeMat-Bulk describes a relaxed GaBPbN2 crystal. The functional is PBE.

a b c (Å): 4.265 6.024 4.265
angles (deg): 90.00 90.00 90.00
Site moments in Bohr magnetons follow the coordinates.
Sites, in units of the cell vectors:
Pb (0.000, 0.000, 0.000)  -0.04
B (0.500, 0.500, 0.500)  -0.02
Ga (0.000, 0.500, 0.000)  -0.02
N (0.000, 0.000, 0.500)  0.53
N (0.500, 0.000, 0.000)  0.71

Summary:
Total magnetization   1.57 μB/cell
V   21.917 A^3/atom
D(E_F)   0.496 states/eV per atom
Energy relative to the elements, uncorrected   2509 meV/atom

4.
This record from Alexandria via LeMat-Bulk describes a relaxed NpUSi crystal. The functional is PBE.

a b c (Å): 3.643 4.648 6.774
angles (deg): 90.00 105.60 90.00
Sites, in units of the cell vectors:
Si (0.907, 0.250, 0.813)
Si (0.093, 0.750, 0.187)
Np (0.228, 0.250, 0.456)
Np (0.772, 0.750, 0.544)
U (0.594, 0.250, 0.188)
U (0.406, 0.750, 0.812)

Summary:
Total magnetization   0.00 μB/cell
V   18.413 A^3/atom
Energy above the lowest structure with this stoichiometry   0.0000 eV per atom
D(E_F)   1.782 states/eV per atom
Energy relative to the elements, uncorrected   -290 meV/atom

5.
This record from Alexandria via LeMat-Bulk describes a relaxed Te2C2F crystal. The functional is PBE.

a b c (Å): 7.270 7.270 3.231
angles (deg): 90.00 90.00 90.00
Sites, in units of the cell vectors:
C (0.172, 0.672, 0.500)
C (0.672, 0.828, 0.500)
C (0.828, 0.328, 0.500)
C (0.328, 0.172, 0.500)
Te (0.298, 0.798, 0.000)
Te (0.798, 0.702, 0.000)
Te (0.702, 0.202, 0.000)
Te (0.202, 0.298, 0.000)
F (0.000, 0.000, 0.000)
F (0.500, 0.500, 0.000)

Summary:
Total magnetization   0.00 μB/cell
V   17.080 A^3/atom
Energy above the lowest structure with this stoichiometry   0.3926 eV per atom
D(E_F)   0.499 states/eV per atom
Energy relative to the elements, uncorrected   1139 meV/atom

6.
This record from Alexandria via LeMat-Bulk describes a relaxed Tb2TmIn3Hg6 crystal. The functional is PBE.

a b c (Å): 4.220 4.220 20.297
angles (deg): 90.00 90.00 90.00
Sites, in units of the cell vectors:
Tb (0.500, 0.500, 0.217)
Tb (0.500, 0.500, 0.783)
Tm (0.500, 0.500, 0.500)
In (0.000, 0.000, 0.280)
In (0.000, 0.000, 0.720)
In (0.000, 0.000, 0.000)
Hg (0.000, 0.500, 0.611)
Hg (0.500, 0.000, 0.389)
Hg (0.500, 0.000, 0.611)
Hg (0.000, 0.000, 0.137)
Hg (0.000, 0.500, 0.389)
Hg (0.000, 0.000, 0.863)

Summary:
Total magnetization   0.00 μB/cell
V   30.128 A^3/atom
D(E_F)   0.598 states/eV per atom
DFT formation energy   -0.05 eV per atom

7.
This record from Alexandria via LeMat-Bulk describes a relaxed CuCSe2 crystal. The functional is PBE.

a b c (Å): 6.484 6.484 6.484
angles (deg): 35.70 35.70 35.70
Sites, in units of the cell vectors:
C (0.000, 0.000, 0.000)
Cu (0.500, 0.500, 0.500)
Se (0.904, 0.904, 0.904)
Se (0.096, 0.096, 0.096)

Summary:
Total magnetization   0.00 μB/cell
V   20.750 A^3/atom
D(E_F)   0.507 states/eV per atom
Energy relative to the elements, uncorrected   765 meV/atom

8.
This record from Alexandria via LeMat-Bulk describes a relaxed Ba2PaMnSe6 crystal. The functional is PBE.

a b c (Å): 7.331 7.543 10.456
angles (deg): 90.00 90.44 90.00
Site moments in Bohr magnetons follow the coordinates.
Sites, in units of the cell vectors:
Ba (0.016, 0.940, 0.247)  0.01
Ba (0.516, 0.560, 0.747)  0.01
Ba (0.984, 0.060, 0.753)  0.01
Ba (0.484, 0.440, 0.253)  0.01
Pa (0.500, 0.000, 0.000)  0.15
Pa (0.000, 0.500, 0.500)  0.15
Mn (0.500, 0.000, 0.500)  3.71
Mn (0.000, 0.500, 0.000)  3.71
Se (0.285, 0.700, 0.034)  -0.02
Se (0.785, 0.800, 0.534)  -0.02
Se (0.715, 0.300, 0.966)  -0.02
Se (0.215, 0.200, 0.466)  -0.02
Se (0.298, 0.715, 0.465)  -0.01
Se (0.798, 0.785, 0.965)  -0.01
Se (0.702, 0.285, 0.535)  -0.01
Se (0.202, 0.215, 0.035)  -0.01
Se (0.934, 0.503, 0.241)  -0.02
Se (0.434, 0.997, 0.741)  -0.02
Se (0.066, 0.497, 0.759)  -0.02
Se (0.566, 0.003, 0.259)  -0.02

Summary:
Total magnetization   7.99 μB/cell
V   28.910 A^3/atom
D(E_F)   0.428 states/eV per atom
Energy relative to the elements, uncorrected   -1406 meV/atom

9.
This record from Alexandria via LeMat-Bulk describes a relaxed DyHoB4 crystal. The functional is PBE.

a b c (Å): 3.564 3.564 6.287
angles (deg): 106.47 106.47 90.00
Sites, in units of the cell vectors:
Dy (0.250, 0.750, 0.500)
Ho (0.000, 0.000, 0.000)
B (0.671, 0.171, 0.343)
B (0.578, 0.578, 0.156)
B (0.829, 0.329, 0.657)
B (0.422, 0.422, 0.844)

Summary:
Total magnetization   0.00 μB/cell
V   12.196 A^3/atom
D(E_F)   0.274 states/eV per atom
DFT formation energy   -0.43 eV per atom

10.
This record from Alexandria via LeMat-Bulk describes a relaxed CoIr2Au crystal. The functional is PBE.

a b c (Å): 4.705 4.705 4.783
angles (deg): 80.05 80.05 34.39
Site moments in Bohr magnetons follow the coordinates.
Sites, in units of the cell vectors:
Au (0.503, 0.503, 0.484)  0.06
Co (0.256, 0.256, 0.242)  1.69
Ir (0.998, 0.998, 0.989)  0.15
Ir (0.743, 0.743, 0.785)  0.15

Summary:
Total magnetization   2.03 μB/cell
V   14.707 A^3/atom
Energy above the lowest structure with this stoichiometry   0.1127 eV per atom
D(E_F)   1.504 states/eV per atom
DFT formation energy   0.29 eV per atom

11.
This record from Alexandria via LeMat-Bulk describes a relaxed La2MoW crystal. The functional is PBE.

a b c (Å): 4.997 3.100 5.694
angles (deg): 83.11 90.00 90.00
Sites, in units of the cell vectors:
La (0.000, 0.010, 0.003)
La (0.000, 0.490, 0.497)
Mo (0.500, 0.250, 0.250)
W (0.500, 0.750, 0.750)

Summary:
Total magnetization   0.00 μB/cell
V   21.892 A^3/atom
Energy above the lowest structure with this stoichiometry   0.5591 eV per atom
D(E_F)   1.663 states/eV per atom
DFT formation energy   0.85 eV per atom

12.
This record from Alexandria via LeMat-Bulk describes a relaxed Gd3ZnCo crystal. The functional is PBE.

a b c (Å): 5.171 5.171 5.171
angles (deg): 90.00 90.00 90.00
Site moments in Bohr magnetons follow the coordinates.
Sites, in units of the cell vectors:
Zn (0.500, 0.500, 0.500)  0.01
Gd (0.000, 0.500, 0.000)  7.08
Gd (0.000, 0.000, 0.500)  7.08
Gd (0.500, 0.000, 0.000)  7.08
Co (0.000, 0.000, 0.000)  -0.03

Summary:
Total magnetization   21.93 μB/cell
V   27.660 A^3/atom
D(E_F)   1.283 states/eV per atom
DFT formation energy   -0.02 eV per atom

> Which value of D(E_F) does entry 10 give?

1.504 states/eV per atom